A plane-wave DFT calculation with SCAN was carried out for a PBEsol-optimized structure of CdIN2Cl.

a b c (Å): 4.1431 4.1431 6.9644
angles (deg): 90.00 90.00 90.00
Last column: nearest neighbours and their distance in Å.
Space group P4/mmm (No. 123)
One atom of each set of equivalent atoms:
Cd: 0.0000 0.0000 0.0000 [1 per cell]  4 I 2.93
I: 0.5000 0.5000 0.0000 [1 per cell]  4 Cd 2.93
N: 0.0000 0.5000 0.5000 [2 per cell]  2 Cl 2.07
Cl: 0.5000 0.5000 0.5000 [1 per cell]  4 N 2.07

Results
The value obtained for the mass density is 4.21 g/cm3. As for the size of the total moment: 3.5 Bohr magnetons per cell. The energy above the most stable polymorph in this dataset is 408 meV/atom. The value obtained for the raw formation energy is 9.26 eV per formula unit.

=====

A plane-wave DFT calculation with SCAN was carried out for a PBEsol-optimized structure of CdIClO3.

a b c (Å): 7.1554 15.9623 7.2194
angles (deg): 90.00 90.00 90.00
Last column: nearest neighbours and their distance in Å.
Space group Cmce (No. 64)
One atom of each set of equivalent atoms:
Cd: 0.2500 0.1025 0.2500 [8 per cell]  4 O 2.29-2.32
I: 0.0000 0.0998 0.7324 [8 per cell]  3 O 1.84-1.86
Cl: 0.0000 0.2106 0.1624 [8 per cell]  2 Cd 2.56
O: 0.0000 0.0143 0.2186 [8 per cell]  1 I 1.86
O: 0.1959 0.0998 0.5669 [16 per cell]  1 I 1.84

Results
The value obtained for the mass density is 5.20 g/cm3. As for the size of the total moment: 0.0 Bohr magnetons per cell. The value obtained for the raw formation energy is -4.83 eV per formula unit.